[1]
{"formula": "LiWCl6", "functional": "GGA-PBEsol", "state": "optimized geometry", "cell": [[-2.330, -7.965, -3.972], [8.525, -3.456, -0.156], [-0.800, -4.723, 7.855]], "species": ["Li", "Li", "Li", "Li", "W", "W", "W", "W", "Cl", "Cl", "Cl", "Cl", "Cl", "Cl", "Cl", "Cl", "Cl", "Cl", "Cl", "Cl", "Cl", "Cl", "Cl", "Cl", "Cl", "Cl", "Cl", "Cl", "Cl", "Cl", "Cl", "Cl"], "frac_coords": [[0.333, 0.333, 0.333], [0.668, 0.167, 0.167], [0.167, 0.668, 0.167], [0.167, 0.167, 0.668], [0.990, 0.505, 0.506], [0.999, 0.999, 0.999], [0.506, 0.990, 0.505], [0.505, 0.506, 0.990], [0.267, 0.573, 0.927], [0.769, 0.573, 0.424], [0.229, 0.921, 0.079], [0.424, 0.769, 0.573], [0.079, 0.229, 0.921], [0.079, 0.729, 0.424], [0.927, 0.267, 0.573], [0.426, 0.268, 0.079], [0.420, 0.576, 0.233], [0.921, 0.079, 0.229], [0.233, 0.420, 0.576], [0.765, 0.072, 0.927], [0.573, 0.424, 0.769], [0.928, 0.577, 0.732], [0.268, 0.079, 0.426], [0.079, 0.426, 0.268], [0.576, 0.233, 0.420], [0.072, 0.927, 0.765], [0.729, 0.424, 0.079], [0.732, 0.928, 0.577], [0.577, 0.732, 0.928], [0.424, 0.079, 0.729], [0.573, 0.927, 0.267], [0.927, 0.765, 0.072]], "dos_at_fermi_per_ev_cell": 21.632, "e_tot_ev_per_cell": -145.5, "spacegroup": "R3, No. 146"}

[2]
{"formula": "SnSe2", "functional": "GGA-PBEsol", "state": "optimized geometry", "cell": [[3.820, 0.000, 0.000], [-1.910, 3.309, 0.000], [0.000, 0.000, 6.075]], "species": ["Sn", "Se", "Se"], "frac_coords": [[0.000, 0.000, 0.000], [0.667, 0.333, 0.739], [0.333, 0.667, 0.261]], "e_tot_ev_per_cell": -13.0, "spacegroup": "P-3m1, No. 164"}

[3]
{"formula": "TlOs3", "functional": "GGA-PBEsol", "state": "optimized geometry", "cell": [[-0.046, 1.992, -2.001], [-2.686, 0.587, 0.647], [2.437, 5.345, 5.264]], "species": ["Os", "Os", "Os", "Tl"], "frac_coords": [[0.000, 0.000, 0.777], [0.500, 0.500, 0.000], [0.000, 0.000, 0.223], [0.500, 0.500, 0.500]], "dos_at_fermi_per_ev_cell": 2.909, "polymorph_energy_mev_per_atom": 0, "formation_energy_mev_per_atom": 645, "spacegroup": "P4/mmm, No. 123"}

[4]
{"formula": "Sc3AgIr", "functional": "GGA-PBEsol", "state": "optimized geometry", "cell": [[4.957, 0.000, 0.000], [0.000, 4.957, 0.000], [0.000, 0.000, 4.957]], "species": ["Sc", "Sc", "Sc", "Ir", "Ag"], "frac_coords": [[0.000, 0.500, 0.000], [0.000, 0.000, 0.500], [0.500, 0.000, 0.000], [0.000, 0.000, 0.000], [0.500, 0.500, 0.500]], "dos_at_fermi_per_ev_cell": 3.508, "formation_energy_mev_per_atom": -139, "spacegroup": "Pm-3m, No. 221"}

[5]
{"formula": "MnCoPb3", "functional": "GGA-PBEsol", "state": "optimized geometry", "cell": [[4.993, 0.000, 0.000], [0.000, 4.993, 0.000], [0.000, 0.000, 4.993]], "species": ["Pb", "Pb", "Pb", "Mn", "Co"], "frac_coords": [[0.000, 0.500, 0.000], [0.000, 0.000, 0.500], [0.500, 0.000, 0.000], [0.500, 0.500, 0.500], [0.000, 0.000, 0.000]], "dos_at_fermi_per_ev_cell": 3.931, "formation_energy_mev_per_atom": 664, "spacegroup": "Pm-3m, No. 221"}

[6]
{"formula": "Li2GeAsAu", "functional": "GGA-PBEsol", "state": "optimized geometry", "cell": [[-2.843, 1.240, 3.383], [-0.729, -4.418, 1.006], [3.760, 0.092, 3.125]], "species": ["As", "Au", "Ge", "Li", "Li"], "frac_coords": [[0.000, 0.000, 0.000], [0.000, 0.000, 0.500], [0.500, 0.500, 0.500], [0.000, 0.500, 0.000], [0.500, 0.000, 0.000]], "dos_at_fermi_per_ev_cell": 2.458, "formation_energy_mev_per_atom": 119, "spacegroup": "P4/mmm, No. 123"}

[7]
{"formula": "ZnCu2Te", "functional": "GGA-PBEsol", "state": "optimized geometry", "cell": [[3.834, 0.000, 0.000], [0.000, 4.017, 0.000], [0.000, 0.000, 4.115]], "species": ["Cu", "Cu", "Te", "Zn"], "frac_coords": [[0.000, 0.000, 0.000], [0.000, 0.500, 0.500], [0.500, 0.500, 0.000], [0.500, 0.000, 0.500]], "dos_at_fermi_per_ev_cell": 1.469, "e_tot_ev_per_cell": -12.9, "spacegroup": "Pmmm, No. 47"}

[8]
{"formula": "SrZr2Cr", "functional": "GGA-PBEsol", "state": "optimized geometry", "cell": [[3.309, 0.000, 0.000], [1.654, 2.865, 0.000], [1.654, 0.955, 9.784]], "species": ["Cr", "Sr", "Zr", "Zr"], "frac_coords": [[0.500, 0.500, 0.500], [0.000, 0.000, 0.000], [0.228, 0.228, 0.316], [0.772, 0.772, 0.684]], "dos_at_fermi_per_ev_cell": 5.541, "polymorph_energy_mev_per_atom": 0, "formation_energy_mev_per_atom": 582, "spacegroup": "R-3m, No. 166"}

no.,size of the total moment (μB per atom)
1,0.126
2,0.000
3,0.000
4,0.000
5,0.806
6,0.000
7,0.000
8,0.000